Record 1
Density functional theory data (PBE) for a relaxed structure of Li2AcHoSe4.

Values from the calculation:
- Fermi-level density of states: 0.000 states/eV per atom

Lattice parameters (Å, degrees): 6.9940 4.2423 7.3905 90.00 110.76 90.00
Space group P2/m (No. 10)
One atom of each set of equivalent atoms:
Li  0.0000  0.0000  0.0000 x1
Li  0.0000  0.5000  0.5000 x1
Ac  0.5000  0.0000  0.5000 x1
Ho  0.5000  0.5000  0.0000 x1
Se  0.2376  0.5000  0.2247 x2
Se  0.2452  0.0000  0.7646 x2

Record 2
Density functional theory data (PBE) for a relaxed structure of LiAc2HoSe5.

Lattice parameters (Å, degrees): 4.3062 17.8690 12.6642 90.00 90.00 90.00
Space group Cmc2_1 (No. 36)
One atom of each set of equivalent atoms:
Li  0.0000  0.0464  0.0000 x4
Ac  0.0000  0.3737  0.8378 x4
Ac  0.0000  0.3931  0.2188 x4
Ho  0.0000  0.3010  0.5418 x4
Se  0.0000  0.0014  0.3150 x4
Se  0.0000  0.1405  0.5338 x4
Se  0.0000  0.1898  0.8900 x4
Se  0.0000  0.2144  0.1951 x4
Se  0.0000  0.4497  0.5961 x4

Record 3
Density functional theory data (PBE) for a relaxed structure of Li3Ac2HoSe6.

Values from the calculation:
- Fermi-level density of states: 0.000 states/eV per atom

Lattice parameters (Å, degrees): 18.0316 4.2669 7.9007 90.00 90.82 90.00
Space group C2/m (No. 12)
One atom of each set of equivalent atoms:
Li  0.0000  0.0000  0.0000 x2
Li  0.1222  0.5000  0.2285 x4
Ac  0.1929  0.5000  0.7557 x4
Ho  0.0000  0.0000  0.5000 x2
Se  0.0161  0.5000  0.7447 x4
Se  0.1574  0.0000  0.0254 x4
Se  0.1588  0.0000  0.4728 x4

The records above give, respectively, total energy values of -4.973, -5.437, -4.995 eV per atom.
The records above give, respectively, formation energy (no corrections) values of -1286, -1621, -1978 kJ/mol of formula units.
The records above give, respectively, size of the total moment values of 0.00, 0.00, 0.00 μB/f.u..